Mg3AgHg3 | PBE | optimized geometry

## Properties
calculated density: 8.52 g cm⁻³
size of the total moment: 0.00 μB/cell
space group: C2/m
uncorrected energy: -1.387 eV/atom
calculated volume: 21.78 Å³ per atom
crystal system: monoclinic
DFT formation energy: -167.0 meV per atom

abc: 6.776 6.776 6.641
angles: 89.99 89.99 89.80
Sites, in units of the cell vectors:
1 Mg 0.998 0.502 0.759
2 Mg 0.001 0.001 0.240
3 Mg 0.002 0.498 0.241
4 Mg 0.502 0.998 0.759
5 Mg 0.498 0.002 0.241
6 Mg 0.999 0.999 0.760
7 Ag 0.249 0.249 0.997
8 Ag 0.751 0.751 0.003
9 Hg 0.730 0.730 0.497
10 Hg 0.270 0.270 0.503
11 Hg 0.734 0.266 0.500
12 Hg 0.683 0.317 0.000
13 Hg 0.317 0.683 0.000
14 Hg 0.266 0.734 0.500